# Li7InAu2

An optimized crystal structure of Li7InAu2 (PBE, Alexandria via LeMat-Bulk).

For the size of the total moment, the calculation gives 0.0 μB/cell. The calculation puts the density at 4.12 g/cm3. The formation enthalpy at 0 K is -15.90 kJ per mole of atoms.

The structure belongs to space group Cmmm (No. 65); the cell edges are 7.5105, 12.7118 and 4.7105 Å and the angles 90.00°, 90.00° and 90.00°. The distinct sites, in fractional coordinates, are Li at (0.0000, 0.0000, 0.0000), Li at (0.0000, 0.2656, 0.5000), Li at (0.1782, 0.3809, 0.0000), In at (0.0000, 0.5000, 0.5000) and Au at (0.0000, 0.1987, 0.0000).